## Na2MnO2 (PBE+U)

Data for crystalline Na2MnO2 at its relaxed geometry.

Unit cell a=3.3258 b=3.3258 c=6.1970 alpha=74.43 beta=74.43 gamma=90.00
Site moments in Bohr magnetons follow the coordinates.
Atoms (fractional coordinates):
1 Na 0.7500 0.2500 0.5000  0.00
2 Na 0.2500 0.7500 0.5000  0.00
3 Mn 0.0000 0.0000 0.0000  4.67
4 O 0.3817 0.3817 0.2366  0.03
5 O 0.6183 0.6183 0.7634  0.03

energy: -23.5 eV/cell
N(E_F): 0.000 states/eV per cell
SG: I4/mmm